A relaxed CeHgCl3 crystal. Source: Alexandria via LeMat-Bulk, functional PBE.

Cell and atoms, written as POSCAR:
```
CeHgCl3
1.0
5.554 0.000 0.000
0.000 5.554 0.000
0.000 0.000 5.554
Ce Hg Cl
1 1 3
direct
0.000 0.000 0.000 Ce
0.500 0.500 0.500 Hg
0.000 0.000 0.500 Cl
0.000 0.500 0.000 Cl
0.500 0.000 0.000 Cl
```

D(E_F), states/eV/f.u.: 7.844
Electronic total energy, eV/cell: -20.2
Size of the total moment, Bohr magnetons per cell: 1.000
Calculated volume, Å³ per cell: 171.3
E_form (uncorrected), eV/atom: -1.68

A relaxed CeHgCl2 crystal. Source: Alexandria via LeMat-Bulk, functional PBE.

Cell and atoms, written as POSCAR:
```
CeHgCl2
1.0
1.948 1.125 11.432
-1.948 1.125 11.432
0.000 -2.250 11.432
Ce Hg Cl
1 1 2
direct
0.000 0.000 0.000 Ce
0.500 0.500 0.500 Hg
0.385 0.385 0.385 Cl
0.615 0.615 0.615 Cl
```

D(E_F), states/eV/f.u.: 5.675
Electronic total energy, eV/cell: -15.6
Size of the total moment, Bohr magnetons per cell: 1.930
Calculated volume, Å³ per cell: 150.3
E_form (uncorrected), eV/atom: -1.42

A relaxed K2CeHgCl6 crystal. Source: Alexandria via LeMat-Bulk, functional PBE.

Cell and atoms, written as POSCAR:
```
K2CeHgCl6
1.0
3.926 2.267 7.269
-3.926 2.267 7.269
0.000 -4.534 7.269
K Ce Hg Cl
2 1 1 6
direct
0.000 0.000 0.000 K
0.476 0.476 0.476 K
0.668 0.668 0.668 Ce
0.180 0.180 0.180 Hg
0.023 0.459 0.722 Cl
0.312 0.841 0.629 Cl
0.459 0.722 0.023 Cl
0.629 0.312 0.841 Cl
0.722 0.023 0.459 Cl
0.841 0.629 0.312 Cl
```

Electronic total energy, eV/cell: -37.3
Size of the total moment, Bohr magnetons per cell: 0.000
Calculated volume, Å³ per cell: 388.2
E_form (uncorrected), eV/atom: -1.78

A relaxed KCe3Hg2Cl12 crystal. Source: Alexandria via LeMat-Bulk, functional PBE.

Cell and atoms, written as POSCAR:
```
KCe3Hg2Cl12
1.0
5.221 3.014 8.599
-5.221 3.014 8.599
0.000 -6.028 8.599
K Ce Hg Cl
1 3 2 12
direct
0.000 0.000 0.000 K
0.000 0.000 0.500 Ce
0.000 0.500 0.000 Ce
0.500 0.000 0.000 Ce
0.382 0.382 0.382 Hg
0.618 0.618 0.618 Hg
0.073 0.695 0.695 Cl
0.078 0.078 0.640 Cl
0.078 0.640 0.078 Cl
0.305 0.305 0.927 Cl
0.305 0.927 0.305 Cl
0.360 0.922 0.922 Cl
0.640 0.078 0.078 Cl
0.695 0.073 0.695 Cl
0.695 0.695 0.073 Cl
0.922 0.360 0.922 Cl
0.922 0.922 0.360 Cl
0.927 0.305 0.305 Cl
```

D(E_F), states/eV/f.u.: 17.259
Electronic total energy, eV/cell: -73.6
Size of the total moment, Bohr magnetons per cell: 1.048
Calculated volume, Å³ per cell: 811.9
E_form (uncorrected), eV/atom: -1.78

A relaxed Na2CeHgCl8 crystal. Source: Alexandria via LeMat-Bulk, functional PBE.

Cell and atoms, written as POSCAR:
```
Na2CeHgCl8
1.0
6.324 0.000 0.000
0.000 8.823 0.000
-0.527 0.000 6.395
Na Ce Hg Cl
2 1 1 8
direct
0.000 0.249 0.000 Na
0.000 0.751 0.000 Na
0.500 0.500 0.500 Ce
0.500 0.000 0.500 Hg
0.225 0.500 0.172 Cl
0.240 0.000 0.206 Cl
0.285 0.281 0.671 Cl
0.285 0.719 0.671 Cl
0.715 0.281 0.329 Cl
0.715 0.719 0.329 Cl
0.760 0.000 0.794 Cl
0.775 0.500 0.828 Cl
```

Electronic total energy, eV/cell: -42.3
Size of the total moment, Bohr magnetons per cell: 0.000
Calculated volume, Å³ per cell: 356.9
E_form (uncorrected), eV/atom: -1.56

A relaxed NaCeHgCl6 crystal. Source: Alexandria via LeMat-Bulk, functional PBE.

Cell and atoms, written as POSCAR:
```
NaCeHgCl6
1.0
6.995 0.000 0.000
-3.498 6.058 0.000
0.000 0.000 6.102
Na Ce Hg Cl
1 1 1 6
direct
0.000 0.000 0.000 Na
0.333 0.667 0.000 Ce
0.667 0.333 0.500 Hg
0.008 0.344 0.248 Cl
0.008 0.664 0.752 Cl
0.336 0.344 0.752 Cl
0.336 0.992 0.248 Cl
0.656 0.664 0.248 Cl
0.656 0.992 0.752 Cl
```

D(E_F), states/eV/f.u.: 6.518
Electronic total energy, eV/cell: -32.5
Size of the total moment, Bohr magnetons per cell: 1.023
Calculated volume, Å³ per cell: 258.6
E_form (uncorrected), eV/atom: -1.54